Record 1
The following is a PBE-GGA calculation of an optimized crystal structure of Ac2InPd6Au, from the Alexandria database.

* ρ: 10.0 g/cm³
* formation energy from the elements: -0.5116 eV per atom
* volume: 23.43 A^3/atom
* magnetization: 0.0 μB per cell
* energy: -303.0 eV/cell

abc: 6.7197 6.7197 35.9513
angles: 90.00 90.00 120.00
Space group R-3m (No. 166, hexagonal axes)
One atom of each set of equivalent atoms:
Ac 0.0000 0.0000 0.1245 [6 per cell]
Ac 0.0000 0.0000 0.2876 [6 per cell]
In 0.0000 0.0000 0.4245 [6 per cell]
Pd 0.0631 0.5316 0.3018 [18 per cell]
Pd 0.0698 0.5349 0.8710 [18 per cell]
Au 0.0000 0.0000 0.0000 [3 per cell]
Au 0.0000 0.0000 0.5000 [3 per cell]



Record 2
The following is a PBE-GGA calculation of an optimized crystal structure of Ac3Pr3In2Au, from the Alexandria database.

* ρ: 8.3 g/cm³
* formation energy from the elements: -0.3753 eV per atom
* volume: 34.00 A^3/atom
* magnetization: 0.0 μB per cell
* energy: -38.8 eV/cell

abc: 9.3479 9.3479 4.0441
angles: 90.00 90.00 120.00
Space group P-62m (No. 189)
One atom of each set of equivalent atoms:
Ac 0.0000 0.7402 0.0000 [3 per cell]
Pr 0.0000 0.4018 0.5000 [3 per cell]
In 0.3333 0.6667 0.0000 [2 per cell]
Au 0.0000 0.0000 0.5000 [1 per cell]



Q: Look up the magnetization of the second one.
A: 0.0 μB per cell



Q: Among the records above, which one has the highest energy?
A: Ac3Pr3In2Au